Entry 1:
First-principles (PBE) data for a geometry-optimized Dy3PO6 structure, as listed in Alexandria via LeMat-Bulk.

## Properties
uncorrected formation energy	-3.081	eV/atom

Cell lengths 5.909, 7.043, 7.043 Å; angles 103.05, 90.00, 90.00 degrees
Element x y z (fractional)
Dy1 0.488 0.306 0.086
Dy2 0.488 0.914 0.694
Dy3 0.956 0.593 0.407
Dy4 0.988 0.694 0.914
Dy5 0.456 0.407 0.593
Dy6 0.988 0.086 0.306
O1 0.147 0.102 0.606
O2 0.710 0.952 0.048
O3 0.065 0.776 0.224
O4 0.565 0.224 0.776
O5 0.720 0.654 0.674
O6 0.220 0.674 0.654
O7 0.220 0.346 0.326
O8 0.210 0.048 0.952
O9 0.720 0.326 0.346
O10 0.147 0.394 0.898
O11 0.647 0.606 0.102
O12 0.647 0.898 0.394
P1 0.045 0.172 0.828
P2 0.545 0.828 0.172

---

Entry 2:
First-principles (PBE) data for a geometry-optimized DyP3O9 structure, as listed in Alexandria via LeMat-Bulk.

## Properties
energy above the lowest structure with this stoichiometry	7.1	meV per atom
uncorrected formation energy	-2.531	eV/atom

Cell lengths 7.969, 7.969, 10.223 Å; angles 56.72, 56.72, 50.77 degrees
Element x y z (fractional)
P1 0.394 0.187 0.095
P2 0.187 0.394 0.595
P3 0.187 0.003 0.921
P4 0.003 0.187 0.421
P5 0.781 0.620 0.487
P6 0.620 0.781 0.987
O1 0.525 0.254 0.103
O2 0.034 0.059 0.080
O3 0.113 0.234 0.776
O4 0.234 0.113 0.276
O5 0.059 0.034 0.580
O6 0.827 0.195 0.399
O7 0.578 0.585 0.123
O8 0.565 0.944 0.065
O9 0.852 0.731 0.864
O10 0.731 0.852 0.364
O11 0.354 0.265 0.472
O12 0.944 0.565 0.565
O13 0.585 0.578 0.623
O14 0.443 0.939 0.884
O15 0.254 0.525 0.603
O16 0.939 0.443 0.384
O17 0.195 0.827 0.899
O18 0.265 0.354 0.972
Dy1 0.208 0.680 0.756
Dy2 0.680 0.208 0.256

---

Entry 3:
First-principles (PBE) data for a geometry-optimized DyP5O14 structure, as listed in Alexandria via LeMat-Bulk.

## Properties
energy above the lowest structure with this stoichiometry	8.3	meV per atom
uncorrected formation energy	-2.335	eV/atom

Cell lengths 8.819, 9.145, 12.837 Å; angles 90.00, 90.00, 90.00 degrees
Element x y z (fractional)
P1 0.743 0.728 0.431
P2 0.243 0.772 0.069
P3 0.509 0.204 0.418
P4 0.072 0.504 0.250
P5 0.009 0.296 0.082
P6 0.009 0.296 0.418
P7 0.757 0.228 0.569
P8 0.257 0.272 0.931
P9 0.757 0.228 0.931
P10 0.743 0.728 0.069
P11 0.572 0.996 0.250
P12 0.243 0.772 0.431
P13 0.928 0.496 0.750
P14 0.491 0.796 0.582
P15 0.991 0.704 0.918
P16 0.257 0.272 0.569
P17 0.491 0.796 0.918
P18 0.991 0.704 0.582
P19 0.509 0.204 0.082
P20 0.428 0.004 0.750
O1 0.009 0.152 0.365
O2 0.662 0.156 0.472
O3 0.162 0.344 0.028
O4 0.662 0.156 0.028
O5 0.229 0.442 0.250
O6 0.509 0.348 0.365
O7 0.342 0.661 0.119
O8 0.172 0.894 0.372
O9 0.828 0.106 0.872
O10 0.658 0.339 0.881
O11 0.672 0.606 0.128
O12 0.842 0.839 0.381
O13 0.338 0.844 0.972
O14 0.271 0.942 0.750
O15 0.976 0.432 0.346
O16 0.476 0.068 0.154
O17 0.115 0.681 0.495
O18 0.991 0.848 0.865
O19 0.328 0.394 0.628
O20 0.729 0.058 0.250
O21 0.328 0.394 0.872
O22 0.172 0.894 0.128
O23 0.991 0.848 0.635
O24 0.158 0.161 0.619
O25 0.162 0.344 0.472
O26 0.524 0.932 0.846
O27 0.476 0.068 0.346
O28 0.672 0.606 0.372
O29 0.524 0.932 0.654
O30 0.338 0.844 0.528
O31 0.342 0.661 0.381
O32 0.885 0.319 0.995
O33 0.976 0.432 0.154
O34 0.838 0.656 0.972
O35 0.009 0.152 0.135
O36 0.838 0.656 0.528
O37 0.385 0.181 0.505
O38 0.885 0.319 0.505
O39 0.842 0.839 0.119
O40 0.491 0.652 0.635
O41 0.658 0.339 0.619
O42 0.828 0.106 0.628
O43 0.385 0.181 0.995
O44 0.037 0.663 0.250
O45 0.771 0.558 0.750
O46 0.024 0.568 0.654
O47 0.463 0.163 0.750
O48 0.963 0.337 0.750
O49 0.115 0.681 0.005
O50 0.615 0.819 0.005
O51 0.158 0.161 0.881
O52 0.509 0.348 0.135
O53 0.491 0.652 0.865
O54 0.024 0.568 0.846
O55 0.537 0.837 0.250
O56 0.615 0.819 0.495
Dy1 0.520 0.443 0.750
Dy2 0.980 0.943 0.250
Dy3 0.480 0.557 0.250
Dy4 0.020 0.057 0.750

---

Entry 4:
First-principles (PBE) data for a geometry-optimized DyP3O9 structure, as listed in Alexandria via LeMat-Bulk.

## Properties
energy above the lowest structure with this stoichiometry	3.8	meV per atom
uncorrected formation energy	-2.534	eV/atom

Cell lengths 20.390, 10.244, 11.505 Å; angles 82.26, 90.00, 90.00 degrees
Element x y z (fractional)
Dy1 0.500 0.500 0.500
Dy2 0.325 0.024 0.502
Dy3 0.000 0.000 0.000
Dy4 0.000 0.000 0.500
Dy5 0.844 0.484 0.000
Dy6 0.175 0.524 0.502
Dy7 0.825 0.476 0.498
Dy8 0.156 0.516 0.000
Dy9 0.500 0.500 0.000
Dy10 0.656 0.984 0.000
Dy11 0.675 0.976 0.498
Dy12 0.344 0.016 0.000
O1 0.260 0.933 0.902
O2 0.102 0.423 0.393
O3 0.911 0.459 0.381
O4 0.090 0.535 0.843
O5 0.162 0.743 0.443
O6 0.932 0.047 0.346
O7 0.245 0.033 0.361
O8 0.074 0.920 0.380
O9 0.358 0.626 0.712
O10 0.695 0.179 0.406
O11 0.805 0.679 0.406
O12 0.411 0.041 0.619
O13 0.932 0.911 0.875
O14 0.995 0.636 0.729
O15 0.740 0.067 0.098
O16 0.075 0.583 0.110
O17 0.917 0.020 0.127
O18 0.092 0.714 0.276
O19 0.517 0.694 0.892
O20 0.858 0.874 0.288
O21 0.515 0.112 0.257
O22 0.816 0.269 0.044
O23 0.068 0.953 0.654
O24 0.432 0.453 0.654
O25 0.220 0.475 0.160
O26 0.083 0.980 0.873
O27 0.684 0.769 0.044
O28 0.495 0.864 0.271
O29 0.926 0.080 0.620
O30 0.621 0.190 0.942
O31 0.408 0.214 0.276
O32 0.068 0.089 0.125
O33 0.756 0.401 0.369
O34 0.910 0.465 0.157
O35 0.394 0.732 0.277
O36 0.017 0.806 0.108
O37 0.311 0.631 0.167
O38 0.828 0.120 0.242
O39 0.015 0.388 0.743
O40 0.780 0.525 0.840
O41 0.142 0.126 0.712
O42 0.642 0.374 0.288
O43 0.689 0.369 0.833
O44 0.328 0.380 0.758
O45 0.898 0.577 0.607
O46 0.267 0.731 0.799
O47 0.410 0.035 0.843
O48 0.505 0.136 0.729
O49 0.256 0.099 0.631
O50 0.720 0.025 0.840
O51 0.662 0.757 0.557
O52 0.925 0.417 0.890
O53 0.106 0.232 0.277
O54 0.305 0.821 0.594
O55 0.463 0.710 0.456
O56 0.673 0.608 0.753
O57 0.426 0.420 0.380
O58 0.606 0.268 0.723
O59 0.244 0.599 0.631
O60 0.602 0.077 0.607
O61 0.745 0.467 0.639
O62 0.037 0.210 0.456
O63 0.879 0.690 0.942
O64 0.089 0.541 0.619
O65 0.255 0.533 0.361
O66 0.811 0.869 0.833
O67 0.537 0.290 0.544
O68 0.767 0.769 0.201
O69 0.568 0.547 0.346
O70 0.592 0.786 0.724
O71 0.338 0.243 0.443
O72 0.379 0.810 0.058
O73 0.760 0.567 0.098
O74 0.172 0.880 0.758
O75 0.483 0.306 0.108
O76 0.485 0.888 0.743
O77 0.316 0.231 0.956
O78 0.755 0.967 0.639
O79 0.195 0.321 0.594
O80 0.590 0.965 0.157
O81 0.005 0.364 0.271
O82 0.838 0.257 0.557
O83 0.280 0.975 0.160
O84 0.425 0.083 0.110
O85 0.983 0.194 0.892
O86 0.575 0.917 0.890
O87 0.184 0.731 0.956
O88 0.568 0.411 0.875
O89 0.733 0.269 0.201
O90 0.432 0.589 0.125
O91 0.233 0.231 0.799
O92 0.574 0.580 0.620
O93 0.827 0.108 0.753
O94 0.173 0.892 0.247
O95 0.589 0.959 0.381
O96 0.327 0.392 0.247
O97 0.908 0.286 0.724
O98 0.744 0.901 0.369
O99 0.963 0.790 0.544
O100 0.583 0.520 0.127
O101 0.240 0.433 0.902
O102 0.894 0.768 0.723
O103 0.417 0.480 0.873
O104 0.189 0.131 0.167
O105 0.985 0.612 0.257
O106 0.121 0.310 0.058
O107 0.672 0.620 0.242
O108 0.398 0.923 0.393
P1 0.624 0.678 0.653
P2 0.790 0.804 0.327
P3 0.053 0.527 0.733
P4 0.720 0.677 0.136
P5 0.447 0.027 0.733
P6 0.726 0.493 0.760
P7 0.383 0.692 0.149
P8 0.876 0.178 0.653
P9 0.947 0.473 0.267
P10 0.043 0.682 0.176
P11 0.957 0.318 0.824
P12 0.543 0.818 0.824
P13 0.280 0.323 0.864
P14 0.437 0.810 0.360
P15 0.117 0.192 0.149
P16 0.063 0.310 0.360
P17 0.563 0.190 0.640
P18 0.937 0.690 0.640
P19 0.780 0.177 0.136
P20 0.710 0.304 0.327
P21 0.124 0.822 0.347
P22 0.226 0.007 0.240
P23 0.883 0.808 0.851
P24 0.553 0.973 0.267
P25 0.889 0.018 0.247
P26 0.220 0.823 0.864
P27 0.111 0.982 0.753
P28 0.611 0.518 0.247
P29 0.774 0.993 0.760
P30 0.389 0.482 0.753
P31 0.210 0.196 0.673
P32 0.274 0.507 0.240
P33 0.376 0.322 0.347
P34 0.457 0.182 0.176
P35 0.617 0.308 0.851
P36 0.290 0.696 0.673